[1]
This record from Alexandria describes a geometry-optimized ZnCoTc3 structure. The functional is GGA-PBEsol.

Computed properties:
M_tot   0.25 μB/atom
Formation enthalpy at 0 K   2.09 eV per atom

a b c (Å): 4.3706 4.3706 4.3706
angles (deg): 90.00 90.00 90.00
Closest atoms and distances in Å follow each position.
Atoms (fractional coordinates):
Tc  0.0000  0.5000  0.0000  2 Zn 2.19
Tc  0.5000  0.0000  0.0000  2 Zn 2.19
Tc  0.0000  0.0000  0.5000  2 Zn 2.19
Zn  0.0000  0.0000  0.0000  6 Tc 2.19
Co  0.5000  0.5000  0.5000  12 Tc 3.09


[2]
This record from Alexandria describes a geometry-optimized CuRu2Cl structure. The functional is GGA-PBEsol.

Computed properties:
Formation energy without anion corrections   2.7 eV/f.u.
Energy above the most stable polymorph in this dataset   428 meV/atom
M_tot   0.00 μB/atom

a b c (Å): 2.8085 3.8394 5.1571
angles (deg): 90.00 105.59 90.00
Closest atoms and distances in Å follow each position.
Atoms (fractional coordinates):
Ru  0.6137  0.0000  0.7640  2 Cl 2.34
Ru  0.3863  0.0000  0.2360  2 Cl 2.34
Cl  0.5000  0.5000  0.0000  4 Ru 2.34, 2 Cu 2.58
Cu  0.0000  0.5000  0.5000  2 Cl 2.58, 8 Ru 2.69-2.74, 2 Cu 2.81


[3]
This record from Alexandria describes a geometry-optimized CrRe2BAs structure. The functional is GGA-PBEsol.

Computed properties:
M_tot   0.00 μB/atom
Formation enthalpy at 0 K   2.23 eV per atom

a b c (Å): 4.2515 4.4398 4.4398
angles (deg): 90.00 90.00 90.00
Closest atoms and distances in Å follow each position.
Atoms (fractional coordinates):
Cr  0.0000  0.0000  0.0000  2 As 2.13, 4 Re 2.22
As  0.5000  0.0000  0.0000  2 Cr 2.13
Re  0.0000  0.5000  0.0000  2 Cr 2.22
Re  0.0000  0.0000  0.5000  2 Cr 2.22
B  0.5000  0.5000  0.5000  8 Re 3.07, 4 As 3.14


[4]
This record from Alexandria describes a geometry-optimized BeTcNi6 structure. The functional is GGA-PBEsol.

Computed properties:
M_tot   0.08 μB/atom
Formation enthalpy at 0 K   -0.07 eV per atom

a b c (Å): 6.0085 6.0085 9.8544
angles (deg): 90.00 90.00 109.97
Closest atoms and distances in Å follow each position.
Atoms (fractional coordinates):
Ni  0.0000  0.0000  0.0000  2 Tc 2.38, 2 Be 2.39, 8 Ni 2.46
Ni  0.1314  0.3788  0.3707  8 Ni 2.43-2.55, 1 Be 2.45, 3 Tc 2.47-2.49
Ni  0.8686  0.6212  0.3707  8 Ni 2.43-2.55, 1 Be 2.45, 3 Tc 2.47-2.49
Ni  0.1294  0.3804  0.8780  3 Be 2.40-2.45, 8 Ni 2.40-2.47, 1 Tc 2.45
Ni  0.7497  0.2503  0.2463  8 Ni 2.42-2.48, 2 Be 2.43-2.46, 2 Tc 2.46-2.50
Ni  0.6212  0.8686  0.3707  8 Ni 2.43-2.55, 1 Be 2.45, 3 Tc 2.47-2.49
Ni  0.6212  0.8686  0.6293  8 Ni 2.43-2.55, 1 Be 2.45, 3 Tc 2.47-2.49
Ni  0.8686  0.6212  0.6293  8 Ni 2.43-2.55, 1 Be 2.45, 3 Tc 2.47-2.49
Ni  0.3804  0.1294  0.1220  3 Be 2.40-2.45, 8 Ni 2.40-2.47, 1 Tc 2.45
Ni  0.2503  0.7497  0.2463  8 Ni 2.42-2.48, 2 Be 2.43-2.46, 2 Tc 2.46-2.50
Ni  0.1294  0.3804  0.1220  3 Be 2.40-2.45, 8 Ni 2.40-2.47, 1 Tc 2.45
Ni  0.0000  0.0000  0.5000  4 Tc 2.43-2.55, 8 Ni 2.49
Ni  0.5000  0.5000  0.0000  4 Be 2.37-2.53, 8 Ni 2.41
Ni  0.3804  0.1294  0.8780  3 Be 2.40-2.45, 8 Ni 2.40-2.47, 1 Tc 2.45
Ni  0.8706  0.6196  0.8780  3 Be 2.40-2.45, 8 Ni 2.40-2.47, 1 Tc 2.45
Ni  0.7497  0.2503  0.7537  8 Ni 2.42-2.48, 2 Be 2.43-2.46, 2 Tc 2.46-2.50
Ni  0.6196  0.8706  0.8780  3 Be 2.40-2.45, 8 Ni 2.40-2.47, 1 Tc 2.45
Ni  0.1314  0.3788  0.6293  8 Ni 2.43-2.55, 1 Be 2.45, 3 Tc 2.47-2.49
Ni  0.3788  0.1314  0.6293  8 Ni 2.43-2.55, 1 Be 2.45, 3 Tc 2.47-2.49
Ni  0.5000  0.5000  0.5000  8 Ni 2.44, 2 Tc 2.49, 2 Be 2.56
Ni  0.3788  0.1314  0.3707  8 Ni 2.43-2.55, 1 Be 2.45, 3 Tc 2.47-2.49
Ni  0.2503  0.7497  0.7537  8 Ni 2.42-2.48, 2 Be 2.43-2.46, 2 Tc 2.46-2.50
Ni  0.8706  0.6196  0.1220  3 Be 2.40-2.45, 8 Ni 2.40-2.47, 1 Tc 2.45
Ni  0.6196  0.8706  0.1220  3 Be 2.40-2.45, 8 Ni 2.40-2.47, 1 Tc 2.45
Tc  0.7534  0.2466  0.5000  12 Ni 2.43-2.50
Tc  0.0000  0.0000  0.7588  12 Ni 2.38-2.55
Tc  0.2466  0.7534  0.5000  12 Ni 2.43-2.50
Tc  0.0000  0.0000  0.2412  12 Ni 2.38-2.55
Be  0.5000  0.5000  0.2401  12 Ni 2.37-2.56
Be  0.5000  0.5000  0.7599  12 Ni 2.37-2.56
Be  0.7570  0.2430  0.0000  12 Ni 2.39-2.53
Be  0.2430  0.7570  0.0000  12 Ni 2.39-2.53


[5]
This record from Alexandria describes a geometry-optimized SrPtW3 structure. The functional is GGA-PBEsol.

Computed properties:
M_tot   0.00 μB/atom
Formation enthalpy at 0 K   1.92 eV per atom

a b c (Å): 4.8677 4.8677 4.8677
angles (deg): 90.00 90.00 90.00
Closest atoms and distances in Å follow each position.
Atoms (fractional coordinates):
W  0.0000  0.0000  0.5000  2 Pt 2.43
W  0.0000  0.5000  0.0000  2 Pt 2.43
W  0.5000  0.0000  0.0000  2 Pt 2.43
Pt  0.0000  0.0000  0.0000  6 W 2.43
Sr  0.5000  0.5000  0.5000  12 W 3.44


[6]
This record from Alexandria describes a geometry-optimized NiOsRh2 structure. The functional is GGA-PBEsol.

Computed properties:
Energy above the most stable polymorph in this dataset   49 meV/atom
M_tot   0.00 μB/atom
Formation enthalpy at 0 K   0.07 eV per atom

a b c (Å): 2.6565 4.5485 4.5583
angles (deg): 99.87 106.94 90.00
Closest atoms and distances in Å follow each position.
Atoms (fractional coordinates):
Ni  0.4985  0.4994  0.9971  7 Rh 2.59-2.68, 3 Os 2.61-2.66, 2 Ni 2.66
Os  0.7518  0.2492  0.5036  7 Rh 2.60-2.67, 3 Ni 2.61-2.66, 2 Os 2.66
Rh  0.2481  0.7387  0.4962  4 Os 2.60-2.67, 3 Ni 2.61, 5 Rh 2.66-2.69
Rh  0.0016  0.0128  0.0031  4 Ni 2.59-2.68, 3 Os 2.60-2.62, 5 Rh 2.66-2.69


[7]
This record from Alexandria describes a geometry-optimized K3IrF6 structure. The functional is GGA-PBEsol.

Computed properties:
Formation energy without anion corrections   -22.3 eV/f.u.
M_tot   0.02 μB/atom

a b c (Å): 6.2678 6.2678 6.2678
angles (deg): 60.00 60.00 60.00
Closest atoms and distances in Å follow each position.
Atoms (fractional coordinates):
F  0.2739  0.7261  0.2739  1 Ir 2.00
F  0.2739  0.2739  0.7261  1 Ir 2.00
F  0.7261  0.2739  0.7261  1 Ir 2.00
F  0.7261  0.7261  0.2739  1 Ir 2.00
F  0.7261  0.2739  0.2739  1 Ir 2.00
F  0.2739  0.7261  0.7261  1 Ir 2.00
K  0.7500  0.7500  0.7500  12 F 3.14
K  0.2500  0.2500  0.2500  12 F 3.14
K  0.0000  0.0000  0.0000  6 F 2.43
Ir  0.5000  0.5000  0.5000  6 F 2.00


[8]
This record from Alexandria describes a geometry-optimized CaCu2Te structure. The functional is GGA-PBEsol.

Computed properties:
Formation energy without anion corrections   -0.4 eV/f.u.
M_tot   0.00 μB/atom

a b c (Å): 3.1863 3.7678 6.6551
angles (deg): 90.00 90.00 90.00
Closest atoms and distances in Å follow each position.
Atoms (fractional coordinates):
Cu  0.0000  0.0000  0.0794  4 Cu 2.55, 1 Te 2.64
Cu  0.5000  0.5000  0.1774  4 Cu 2.55, 1 Ca 2.73
Ca  0.5000  0.5000  0.7674  1 Cu 2.73
Te  0.0000  0.0000  0.4757  1 Cu 2.64


[9]
This record from Alexandria describes a geometry-optimized LiSbMo structure. The functional is GGA-PBEsol.

Computed properties:
Formation energy without anion corrections   0.5 eV/f.u.
Energy above the most stable polymorph in this dataset   0 meV/atom
M_tot   0.00 μB/atom

a b c (Å): 3.4041 3.4041 4.8775
angles (deg): 110.42 110.42 90.00
Closest atoms and distances in Å follow each position.
Atoms (fractional coordinates):
Sb  0.6702  0.6702  0.3405  5 Mo 2.77-2.87, 5 Li 2.78-2.82
Li  0.9974  0.9974  0.9949  5 Sb 2.78-2.82, 5 Mo 2.79-2.84
Mo  0.3323  0.3323  0.6646  5 Sb 2.77-2.87, 5 Li 2.79-2.84


[10]
This record from Alexandria describes a geometry-optimized ZrTc2P structure. The functional is GGA-PBEsol.

Computed properties:
M_tot   0.00 μB/atom
Formation enthalpy at 0 K   -0.32 eV per atom

a b c (Å): 2.9901 3.9767 5.0542
angles (deg): 90.00 90.00 90.00
Closest atoms and distances in Å follow each position.
Atoms (fractional coordinates):
Tc  0.5000  0.5000  0.2237  1 P 2.34
Tc  0.0000  0.0000  0.0054  2 Zr 2.50-2.56, 4 Tc 2.72, 4 P 2.78
P  0.5000  0.5000  0.7599  1 Tc 2.34
Zr  0.0000  0.0000  0.5110  2 Tc 2.50-2.56, 4 P 2.79


[11]
This record from Alexandria describes a geometry-optimized CdInAg2 structure. The functional is GGA-PBEsol.

Computed properties:
M_tot   0.00 μB/atom
Formation enthalpy at 0 K   0.00 eV per atom

a b c (Å): 3.0101 3.0101 8.4074
angles (deg): 90.00 90.00 90.00
Closest atoms and distances in Å follow each position.
Atoms (fractional coordinates):
Ag  0.0000  0.0000  0.0138  8 Ag 2.86-3.01, 4 In 2.99
Ag  0.5000  0.5000  0.2419  8 Ag 2.86-3.01, 4 Cd 2.92
Cd  0.0000  0.0000  0.4797  4 Ag 2.92, 4 Cd 3.01, 4 In 3.20
In  0.5000  0.5000  0.7646  4 Ag 2.99, 4 In 3.01, 4 Cd 3.20


| no. | calculated total energy (hartree per atom) |
| --- | --- |
| 1 | -0.2399 |
| 2 | -0.2204 |
| 3 | -0.2783 |
| 4 | -0.2424 |
| 5 | -0.2985 |
| 6 | -0.3156 |
| 7 | -0.1731 |
| 8 | -0.1357 |
| 9 | -0.2178 |
| 10 | -0.3556 |
| 11 | -0.0991 |